No. 1
Here is crystalline Lu2HPt at its relaxed geometry from Alexandria. Energies are from PBE.

Summary:
As for the total energy: -18.86 eV/f.u. Its space group is R-3m, No. 166.

```
Lu2HPt
1.0
3.258 0.000 0.000
1.629 2.822 0.000
1.629 0.941 8.006
H Lu Pt
1 2 1
Direct
0.500 0.500 0.500
0.891 0.891 0.327
0.109 0.109 0.673
0.000 0.000 0.000
```

No. 2
Here is crystalline LuHPt at its relaxed geometry from Alexandria. Energies are from PBE.

Summary:
The value obtained for the energy relative to the lowest polymorph listed for this composition is 0.0 meV per atom. Its space group is C2/m, No. 12.

```
LuHPt
1.0
-0.818 -4.516 1.627
2.435 0.873 -3.639
5.408 -0.387 1.644
Lu Pt H
2 2 2
Direct
0.125 0.250 0.702
0.875 0.750 0.298
0.264 0.527 0.143
0.736 0.473 0.857
0.615 0.229 0.641
0.385 0.771 0.359
```

No. 3
Here is crystalline LuHPt3 at its relaxed geometry from Alexandria. Energies are from PBE.

Summary:
As for the total energy: -30.09 eV/f.u. Its space group is Pm-3m, No. 221.

```
LuHPt3
1.0
4.131 0.000 0.000
0.000 4.131 0.000
0.000 0.000 4.131
Pt H Lu
3 1 1
Direct
0.000 0.000 0.500
0.500 0.000 0.000
0.000 0.500 0.000
0.000 0.000 0.000
0.500 0.500 0.500
```

No. 4
Here is crystalline LuHPt at its relaxed geometry from Alexandria. Energies are from PBE.

Summary:
The value obtained for the energy relative to the lowest polymorph listed for this composition is 75.4 meV per atom. Its space group is P3m1, No. 156.

```
LuHPt
1.0
-2.733 -1.392 1.559
-1.340 -1.254 -3.468
2.377 -2.284 2.128
H Pt Lu
1 1 1
Direct
0.168 0.667 0.333
0.166 0.000 0.000
0.666 0.333 0.667
```

No. 5
Here is crystalline LuPuH at its relaxed geometry from Alexandria. Energies are from PBE.

Summary:
The value obtained for the energy relative to the lowest polymorph listed for this composition is 267.9 meV per atom. Its space group is I4mm, No. 107.

```
LuPuH
1.0
-1.024 0.698 2.870
-2.877 -0.923 -0.802
3.186 -5.260 0.713
Lu Pu H
1 1 1
Direct
0.699 0.699 0.399
0.971 0.971 0.942
0.330 0.330 0.659
```

No. 6
Here is crystalline LuPuH at its relaxed geometry from Alexandria. Energies are from PBE.

Summary:
The value obtained for the energy relative to the lowest polymorph listed for this composition is 0.0 meV per atom. Its space group is P3m1, No. 156.

```
LuPuH
1.0
3.416 0.000 0.000
-1.708 2.958 0.000
0.000 0.000 5.674
Pu H Lu
1 1 1
Direct
0.667 0.333 0.414
0.333 0.667 0.675
0.000 0.000 0.910
```

Repeat the sixth record exactly.
Here is crystalline LuPuH at its relaxed geometry from Alexandria. Energies are from PBE.

Summary:
The value obtained for the energy relative to the lowest polymorph listed for this composition is 0.0 meV per atom. Its space group is P3m1, No. 156.

```
LuPuH
1.0
3.416 0.000 0.000
-1.708 2.958 0.000
0.000 0.000 5.674
Pu H Lu
1 1 1
Direct
0.667 0.333 0.414
0.333 0.667 0.675
0.000 0.000 0.910
```